## ErScSi2Ru (GGA-PBE)

Data for an optimized crystal structure of ErScSi2Ru.

Cell: 3.984 3.984 11.325 Å, 90.00 90.00 90.00°
Space group I-4m2 (No. 119)
Symmetry-distinct sites (fractional):
1 Er 0.000 0.000 0.000 [2 per cell]
2 Sc 0.000 0.500 0.750 [2 per cell]
3 Si 0.000 0.000 0.397 [4 per cell]
4 Ru 0.000 0.500 0.250 [2 per cell]

Computed properties:
Formation energy (no corrections) = -794 meV per atom

=====

## Sm4Dy5Hg (GGA-PBE)

Data for an optimized crystal structure of Sm4Dy5Hg.

Cell: 3.598 3.598 24.171 Å, 90.00 90.00 90.00°
Space group P4/mmm (No. 123)
Symmetry-distinct sites (fractional):
1 Sm 0.000 0.000 0.104 [2 per cell]
2 Sm 0.000 0.000 0.313 [2 per cell]
3 Dy 0.500 0.500 0.000 [1 per cell]
4 Dy 0.500 0.500 0.209 [2 per cell]
5 Dy 0.500 0.500 0.418 [2 per cell]
6 Hg 0.000 0.000 0.500 [1 per cell]

Computed properties:
Energy relative to the elements = -0.08 eV per atom

=====

## Y2InSi2Rh5 (GGA-PBE)

Data for an optimized crystal structure of Y2InSi2Rh5.

Cell: 9.832 9.832 3.516 Å, 90.00 90.00 90.00°
Space group P4/mbm (No. 127)
Symmetry-distinct sites (fractional):
1 Y 0.176 0.324 0.000 [4 per cell]
2 In 0.000 0.000 0.000 [2 per cell]
3 Si 0.122 0.622 0.000 [4 per cell]
4 Rh 0.000 0.500 0.500 [2 per cell]
5 Rh 0.069 0.782 0.500 [8 per cell]

Computed properties:
Formation energy (no corrections) = -949 meV per atom

=====

## CoCS3 (GGA-PBE)

Data for an optimized crystal structure of CoCS3.

Cell: 4.347 4.347 4.347 Å, 90.00 90.00 90.00°
Space group Pm-3m (No. 221)
Symmetry-distinct sites (fractional):
1 Co 0.000 0.000 0.000 [1 per cell]
2 C 0.500 0.500 0.500 [1 per cell]
3 S 0.000 0.000 0.500 [3 per cell]

Computed properties:
Formation energy (no corrections) = 1748 meV per atom

=====

## La2WAu (GGA-PBE)

Data for an optimized crystal structure of La2WAu.

Cell: 3.590 3.590 7.943 Å, 90.00 90.00 90.00°
Space group P4/mmm (No. 123)
Symmetry-distinct sites (fractional):
1 La 0.000 0.000 0.236 [2 per cell]
2 W 0.500 0.500 0.000 [1 per cell]
3 Au 0.500 0.500 0.500 [1 per cell]

Computed properties:
Energy relative to the elements = 0.09 eV per atom

=====

## Dy3Tm2Tl7 (GGA-PBE)

Data for an optimized crystal structure of Dy3Tm2Tl7.

Cell: 5.247 25.595 5.376 Å, 90.00 90.00 90.00°
Space group Cmmm (No. 65)
Symmetry-distinct sites (fractional):
1 Dy 0.000 0.000 0.000 [2 per cell]
2 Dy 0.000 0.153 0.000 [4 per cell]
3 Tm 0.000 0.347 0.500 [4 per cell]
4 Tl 0.000 0.077 0.500 [4 per cell]
5 Tl 0.000 0.221 0.500 [4 per cell]
6 Tl 0.000 0.417 0.000 [4 per cell]
7 Tl 0.000 0.500 0.500 [2 per cell]

Computed properties:
Energy relative to the elements = -0.07 eV per atom

=====

## ErPuTe2 (GGA-PBE)

Data for an optimized crystal structure of ErPuTe2.

Cell: 7.560 7.560 7.560 Å, 90.00 90.00 90.00°
Space group Fm-3m (No. 225)
Symmetry-distinct sites (fractional):
1 Er 0.000 0.000 0.000 [4 per cell]
2 Pu 0.000 0.000 0.500 [4 per cell]
3 Te 0.250 0.250 0.250 [8 per cell]

Computed properties:
Formation energy (no corrections) = -1028 meV per atom

=====

## RbLiReNi2 (GGA-PBE)

Data for an optimized crystal structure of RbLiReNi2.

Cell: 4.689 4.689 5.110 Å, 90.00 90.00 90.00°
Space group P4/mmm (No. 123)
Symmetry-distinct sites (fractional):
1 Rb 0.000 0.000 0.000 [1 per cell]
2 Li 0.500 0.500 0.500 [1 per cell]
3 Re 0.000 0.000 0.500 [1 per cell]
4 Ni 0.000 0.500 0.000 [2 per cell]

Computed properties:
Energy relative to the elements = 2.71 eV per atom

=====

## CaCu2W (GGA-PBE)

Data for an optimized crystal structure of CaCu2W.

Cell: 2.787 3.744 6.572 Å, 90.00 90.00 90.00°
Space group Pmmm (No. 47)
Symmetry-distinct sites (fractional):
1 Ca 0.000 0.000 0.000 [1 per cell]
2 Cu 0.500 0.500 0.305 [2 per cell]
3 W 0.000 0.000 0.500 [1 per cell]

Computed properties:
Energy relative to the elements = 0.40 eV per atom

=====

## Cu2GeTe4 (GGA-PBE)

Data for an optimized crystal structure of Cu2GeTe4.

Cell: 11.322 11.525 8.073 Å, 90.00 134.48 90.00°
Space group C2/c (No. 15)
Symmetry-distinct sites (fractional):
1 Cu 0.000 0.000 0.000 [4 per cell]
2 Cu 0.250 0.250 0.000 [4 per cell]
3 Ge 0.000 0.376 0.250 [4 per cell]
4 Te 0.001 0.237 0.526 [8 per cell]
5 Te 0.224 0.014 0.973 [8 per cell]

Computed properties:
Formation energy (no corrections) = 26 meV per atom

=====

## PrErTl2S4 (GGA-PBE)

Data for an optimized crystal structure of PrErTl2S4.

Cell: 7.119 4.105 7.875 Å, 90.00 107.49 90.00°
Space group P2/m (No. 10)
Symmetry-distinct sites (fractional):
1 Pr 0.000 0.000 0.000 [1 per cell]
2 Er 0.500 0.500 0.000 [1 per cell]
3 Tl 0.000 0.500 0.500 [1 per cell]
4 Tl 0.500 0.000 0.500 [1 per cell]
5 S 0.246 0.500 0.203 [2 per cell]
6 S 0.279 0.000 0.802 [2 per cell]

Computed properties:
Formation energy (no corrections) = -1459 meV per atom

=====

## BaAc2In (GGA-PBE)

Data for an optimized crystal structure of BaAc2In.

Cell: 4.0273 4.0273 38.9890 Å, 90.00 90.00 120.00°
Space group R-3m (No. 166, hexagonal axes)
Symmetry-distinct sites (fractional):
1 Ba 0.0000 0.0000 0.0000 [3 per cell]
2 Ac 0.0000 0.0000 0.1017 [6 per cell]
3 In 0.0000 0.0000 0.5000 [3 per cell]

Computed properties:
Energy relative to the elements = 0.03 eV per atom

=====

## Ho2Sc5Fe2 (GGA-PBE)

Data for an optimized crystal structure of Ho2Sc5Fe2.

Cell: 18.633 6.653 6.590 Å, 90.00 90.00 90.00°
Space group Cmce (No. 64)
Symmetry-distinct sites (fractional):
1 Ho 0.231 0.000 0.000 [8 per cell]
2 Sc 0.000 0.000 0.000 [4 per cell]
3 Sc 0.103 0.183 0.320 [16 per cell]
4 Fe 0.000 0.116 0.611 [8 per cell]

Computed properties:
Energy relative to the elements = -0.01 eV per atom

=====

## Bi3AsPt (GGA-PBE)

Data for an optimized crystal structure of Bi3AsPt.

Cell: 5.430 5.430 5.430 Å, 90.00 90.00 90.00°
Space group Pm-3m (No. 221)
Symmetry-distinct sites (fractional):
1 Bi 0.000 0.000 0.500 [3 per cell]
2 As 0.000 0.000 0.000 [1 per cell]
3 Pt 0.500 0.500 0.500 [1 per cell]

Computed properties:
Energy relative to the elements = 0.93 eV per atom

=====

## RbLaTeBr2 (GGA-PBE)

Data for an optimized crystal structure of RbLaTeBr2.

Cell: 4.670 19.186 9.164 Å, 90.00 90.00 90.00°
Space group Cmcm (No. 63)
Symmetry-distinct sites (fractional):
1 Rb 0.000 0.209 0.250 [4 per cell]
2 La 0.000 0.500 0.000 [4 per cell]
3 Te 0.000 0.002 0.250 [4 per cell]
4 Br 0.000 0.348 0.002 [8 per cell]

Computed properties:
Formation energy (no corrections) = -1742 meV per atom

=====

## BaInTe2 (GGA-PBE)

Data for an optimized crystal structure of BaInTe2.

Cell: 4.738 4.738 7.178 Å, 90.00 90.00 90.00°
Space group P4mm (No. 99)
Symmetry-distinct sites (fractional):
1 Ba 0.000 0.000 0.000 [1 per cell]
2 In 0.500 0.500 0.532 [1 per cell]
3 Te 0.000 0.000 0.490 [1 per cell]
4 Te 0.500 0.500 0.946 [1 per cell]

Computed properties:
Formation energy (no corrections) = -926 meV per atom

=====

## ScAl2Pb (GGA-PBE)

Data for an optimized crystal structure of ScAl2Pb.

Cell: 3.2225 3.2225 30.5096 Å, 90.00 90.00 120.00°
Space group R-3m (No. 166, hexagonal axes)
Symmetry-distinct sites (fractional):
1 Sc 0.0000 0.0000 0.0000 [3 per cell]
2 Al 0.0000 0.0000 0.2576 [6 per cell]
3 Pb 0.0000 0.0000 0.5000 [3 per cell]

Computed properties:
Energy relative to the elements = 0.08 eV per atom

=====

## Li3Pr2PaTe6 (GGA-PBE)

Data for an optimized crystal structure of Li3Pr2PaTe6.

Cell: 7.631 13.215 7.581 Å, 90.00 109.66 90.00°
Space group C2/m (No. 12)
Symmetry-distinct sites (fractional):
1 Li 0.000 0.000 0.000 [2 per cell]
2 Li 0.000 0.332 0.000 [4 per cell]
3 Pr 0.000 0.167 0.500 [4 per cell]
4 Pa 0.000 0.500 0.500 [2 per cell]
5 Te 0.235 0.500 0.237 [4 per cell]
6 Te 0.250 0.162 0.234 [8 per cell]

Computed properties:
Formation energy (no corrections) = -1134 meV per atom

=====

## MgGa2Si (GGA-PBE)

Data for an optimized crystal structure of MgGa2Si.

Cell: 6.647 6.647 6.647 Å, 90.00 90.00 90.00°
Space group Fm-3m (No. 225)
Symmetry-distinct sites (fractional):
1 Mg 0.000 0.000 0.000 [4 per cell]
2 Ga 0.250 0.250 0.250 [8 per cell]
3 Si 0.000 0.000 0.500 [4 per cell]

Computed properties:
Formation energy (no corrections) = 150 meV per atom

=====

## LiTiAl (GGA-PBE)

Data for an optimized crystal structure of LiTiAl.

Cell: 6.207 6.207 6.207 Å, 90.00 90.00 90.00°
Space group F-43m (No. 216)
Symmetry-distinct sites (fractional):
1 Li 0.000 0.000 0.000 [4 per cell]
2 Ti 0.000 0.000 0.500 [4 per cell]
3 Al 0.250 0.250 0.250 [4 per cell]

Computed properties:
Energy relative to the elements = 0.42 eV per atom

=====

For each record above, in turn, the calculated electronic total energy values are -69.97, -43.01, -145.51, -19.97, -25.71, -80.29, -117.15, -13.32, -21.55, -100.77, -42.25, -38.32, -231.26, -17.70, -84.37, -14.65, -51.67, -114.51, -49.89, -49.17 eV/cell.